PBE with a Hubbard U LaErCr2O8, optimized geometry; calculated total energy = -91.952 eV per cell
1.0
6.101 -0.026 0.000
-2.730 5.456 0.000
-1.686 -2.715 5.197
Er O Cr La
1 8 2 1
Direct
0.000 0.000 0.000 Er
0.773 0.086 0.687 O
0.323 0.500 0.177 O
0.914 0.602 0.687 O
0.398 0.086 0.313 O
0.323 0.147 0.823 O
0.914 0.227 0.313 O
0.853 0.677 0.177 O
0.500 0.677 0.823 O
0.500 0.500 0.000 Cr
0.750 0.250 0.500 Cr
0.250 0.750 0.500 La